Crystalline Rb2SrHf at its relaxed geometry, computed with GGA-PBE.

space group = I-42d
density = 3.624 Mg/m³
offset from the most stable computed form = 0 meV/atom
energy relative to the elements = 1.12 eV/atom

The structure in CIF format:
```
data_Rb2SrHf
_chemical_formula_sum 'Rb4 Sr2 Hf2'
_symmetry_space_group_name_H-M 'P 1'
_symmetry_Int_Tables_number 1
_cell_length_a 5.213
_cell_length_b 5.213
_cell_length_c 15.191
_cell_angle_alpha 80.12
_cell_angle_beta 80.12
_cell_angle_gamma 90.00
loop_
_symmetry_equiv_pos_as_xyz
'x,y,z'
loop_
_atom_site_label
_atom_site_type_symbol
_atom_site_fract_x
_atom_site_fract_y
_atom_site_fract_z
Hf1 Hf 0.000 0.000 0.000
Hf2 Hf 0.750 0.250 0.500
Rb1 Rb 0.636 0.125 0.250
Rb2 Rb 0.875 0.886 0.750
Rb3 Rb 0.114 0.625 0.250
Rb4 Rb 0.375 0.364 0.750
Sr1 Sr 0.250 0.750 0.500
Sr2 Sr 0.500 0.500 0.000
```

=====

Crystalline Rb4Dy3TiTe8 at its relaxed geometry, computed with GGA-PBE.

space group = R-3m
density = 5.383 Mg/m³
uncorrected formation energy = -1216.5 meV per atom

The structure in CIF format:
```
data_Rb4Dy3TiTe8
_chemical_formula_sum 'Rb4 Dy3 Ti1 Te8'
_symmetry_space_group_name_H-M 'P 1'
_symmetry_Int_Tables_number 1
_cell_length_a 8.902
_cell_length_b 9.961
_cell_length_c 8.902
_cell_angle_alpha 116.56
_cell_angle_beta 120.00
_cell_angle_gamma 90.00
loop_
_symmetry_equiv_pos_as_xyz
'x,y,z'
loop_
_atom_site_label
_atom_site_type_symbol
_atom_site_fract_x
_atom_site_fract_y
_atom_site_fract_z
Dy1 Dy 0.500 0.500 0.000
Dy2 Dy 0.000 0.500 0.500
Dy3 Dy 0.500 0.500 0.500
Rb1 Rb 0.000 0.000 0.000
Rb2 Rb 0.000 0.000 0.500
Rb3 Rb 0.500 0.000 0.500
Rb4 Rb 0.500 0.000 0.000
Te1 Te 0.778 0.307 0.555
Te2 Te 0.252 0.307 0.030
Te3 Te 0.222 0.693 0.445
Te4 Te 0.222 0.693 0.970
Te5 Te 0.734 0.702 0.468
Te6 Te 0.778 0.307 0.030
Te7 Te 0.748 0.693 0.970
Te8 Te 0.266 0.298 0.532
Ti1 Ti 0.000 0.500 0.000
```

=====

Crystalline Co3Mo at its relaxed geometry, computed with GGA-PBE.

space group = I4/mmm
density = 9.744 Mg/m³
energy relative to the elements = 0.00 eV/atom

The structure in CIF format:
```
data_Co3Mo
_chemical_formula_sum 'Co6 Mo2'
_symmetry_space_group_name_H-M 'P 1'
_symmetry_Int_Tables_number 1
_cell_length_a 3.595
_cell_length_b 3.595
_cell_length_c 7.630
_cell_angle_alpha 76.38
_cell_angle_beta 76.38
_cell_angle_gamma 90.00
loop_
_symmetry_equiv_pos_as_xyz
'x,y,z'
loop_
_atom_site_label
_atom_site_type_symbol
_atom_site_fract_x
_atom_site_fract_y
_atom_site_fract_z
Co1 Co 0.750 0.250 0.500
Co2 Co 0.000 0.500 0.000
Co3 Co 0.500 0.000 0.000
Co4 Co 0.122 0.122 0.756
Co5 Co 0.878 0.878 0.244
Co6 Co 0.250 0.750 0.500
Mo1 Mo 0.373 0.373 0.254
Mo2 Mo 0.627 0.627 0.746
```

=====

Crystalline GaAsBr2N at its relaxed geometry, computed with GGA-PBE.

space group = P4/mmm
density = 4.030 Mg/m³
offset from the most stable computed form = 0 meV/atom
uncorrected formation energy = 646.0 meV per atom

The structure in CIF format:
```
data_GaAsBr2N
_chemical_formula_sum 'Ga1 As1 Br2 N1'
_symmetry_space_group_name_H-M 'P 1'
_symmetry_Int_Tables_number 1
_cell_length_a 5.973
_cell_length_b 5.973
_cell_length_c 3.678
_cell_angle_alpha 90.00
_cell_angle_beta 90.00
_cell_angle_gamma 90.00
loop_
_symmetry_equiv_pos_as_xyz
'x,y,z'
loop_
_atom_site_label
_atom_site_type_symbol
_atom_site_fract_x
_atom_site_fract_y
_atom_site_fract_z
Br1 Br 0.500 0.000 0.000
Br2 Br 0.000 0.500 0.000
N1 N 0.000 0.000 0.000
Ga1 Ga 0.500 0.500 0.500
As1 As 0.000 0.000 0.500
```

=====

Crystalline Zr3As4 at its relaxed geometry, computed with GGA-PBE.

space group = I4/mmm
density = 6.647 Mg/m³
offset from the most stable computed form = 0 meV/atom
energy relative to the elements = -0.84 eV/atom

The structure in CIF format:
```
data_Zr3As4
_chemical_formula_sum 'Zr3 As4'
_symmetry_space_group_name_H-M 'P 1'
_symmetry_Int_Tables_number 1
_cell_length_a 10.950
_cell_length_b 10.950
_cell_length_c 10.950
_cell_angle_alpha 160.71
_cell_angle_beta 160.71
_cell_angle_gamma 27.41
loop_
_symmetry_equiv_pos_as_xyz
'x,y,z'
loop_
_atom_site_label
_atom_site_type_symbol
_atom_site_fract_x
_atom_site_fract_y
_atom_site_fract_z
As1 As 0.166 0.166 0.000
As2 As 0.437 0.437 0.000
As3 As 0.834 0.834 0.000
As4 As 0.563 0.563 0.000
Zr1 Zr 0.700 0.700 0.000
Zr2 Zr 0.300 0.300 0.000
Zr3 Zr 0.000 0.000 0.000
```

=====

Crystalline SmPuGa2 at its relaxed geometry, computed with GGA-PBE.

space group = R-3m
density = 8.648 Mg/m³
offset from the most stable computed form = 196 meV/atom
energy relative to the elements = -0.19 eV/atom

The structure in CIF format:
```
data_SmPuGa2
_chemical_formula_sum 'Sm1 Pu1 Ga2'
_symmetry_space_group_name_H-M 'P 1'
_symmetry_Int_Tables_number 1
_cell_length_a 3.594
_cell_length_b 3.594
_cell_length_c 9.395
_cell_angle_alpha 78.97
_cell_angle_beta 78.97
_cell_angle_gamma 60.00
loop_
_symmetry_equiv_pos_as_xyz
'x,y,z'
loop_
_atom_site_label
_atom_site_type_symbol
_atom_site_fract_x
_atom_site_fract_y
_atom_site_fract_z
Ga1 Ga 0.750 0.750 0.749
Ga2 Ga 0.250 0.250 0.251
Sm1 Sm 0.000 0.000 0.000
Pu1 Pu 0.500 0.500 0.500
```

=====

Crystalline Sb4Os at its relaxed geometry, computed with GGA-PBE.

space group = Pm-3m
density = 8.132 Mg/m³
offset from the most stable computed form = 34 meV/atom
uncorrected formation energy = 578.4 meV per atom

The structure in CIF format:
```
data_Sb4Os
_chemical_formula_sum 'Sb4 Os1'
_symmetry_space_group_name_H-M 'P 1'
_symmetry_Int_Tables_number 1
_cell_length_a 5.171
_cell_length_b 5.171
_cell_length_c 5.171
_cell_angle_alpha 90.00
_cell_angle_beta 90.00
_cell_angle_gamma 90.00
loop_
_symmetry_equiv_pos_as_xyz
'x,y,z'
loop_
_atom_site_label
_atom_site_type_symbol
_atom_site_fract_x
_atom_site_fract_y
_atom_site_fract_z
Sb1 Sb 0.000 0.000 0.000
Sb2 Sb 0.500 0.500 0.000
Sb3 Sb 0.500 0.000 0.500
Sb4 Sb 0.000 0.500 0.500
Os1 Os 0.500 0.500 0.500
```

=====

Crystalline Hf2SiB2 at its relaxed geometry, computed with GGA-PBE.

space group = P4/mbm
density = 9.127 Mg/m³
offset from the most stable computed form = 287 meV/atom
uncorrected formation energy = 285.7 meV per atom

The structure in CIF format:
```
data_Hf2SiB2
_chemical_formula_sum 'Hf4 Si2 B4'
_symmetry_space_group_name_H-M 'P 1'
_symmetry_Int_Tables_number 1
_cell_length_a 6.831
_cell_length_b 6.831
_cell_length_c 3.171
_cell_angle_alpha 90.00
_cell_angle_beta 90.00
_cell_angle_gamma 90.00
loop_
_symmetry_equiv_pos_as_xyz
'x,y,z'
loop_
_atom_site_label
_atom_site_type_symbol
_atom_site_fract_x
_atom_site_fract_y
_atom_site_fract_z
Si1 Si 0.000 0.000 0.000
Si2 Si 0.500 0.500 0.000
B1 B 0.334 0.166 0.500
B2 B 0.834 0.334 0.500
B3 B 0.166 0.666 0.500
B4 B 0.666 0.834 0.500
Hf1 Hf 0.149 0.351 0.000
Hf2 Hf 0.351 0.851 0.000
Hf3 Hf 0.649 0.149 0.000
Hf4 Hf 0.851 0.649 0.000
```

=====

Crystalline LaTbPm2Er2 at its relaxed geometry, computed with GGA-PBE.

space group = Pnnm
density = 7.571 Mg/m³
energy relative to the elements = 0.16 eV/atom

The structure in CIF format:
```
data_LaTbPm2Er2
_chemical_formula_sum 'La2 Tb2 Pm4 Er4'
_symmetry_space_group_name_H-M 'P 1'
_symmetry_Int_Tables_number 1
_cell_length_a 3.540
_cell_length_b 16.344
_cell_length_c 6.994
_cell_angle_alpha 90.00
_cell_angle_beta 90.00
_cell_angle_gamma 90.00
loop_
_symmetry_equiv_pos_as_xyz
'x,y,z'
loop_
_atom_site_label
_atom_site_type_symbol
_atom_site_fract_x
_atom_site_fract_y
_atom_site_fract_z
Pm1 Pm 0.500 0.839 0.253
Pm2 Pm 0.500 0.161 0.747
Pm3 Pm 0.000 0.339 0.247
Pm4 Pm 0.000 0.661 0.753
Er1 Er 0.500 0.154 0.249
Er2 Er 0.000 0.346 0.749
Er3 Er 0.000 0.654 0.251
Er4 Er 0.500 0.846 0.751
Tb1 Tb 0.000 0.000 0.500
Tb2 Tb 0.500 0.500 0.000
La1 La 0.500 0.500 0.500
La2 La 0.000 0.000 0.000
```

=====

Crystalline LaPaNiRu at its relaxed geometry, computed with GGA-PBE.

space group = F-43m
density = 10.589 Mg/m³
energy relative to the elements = -0.16 eV/atom

The structure in CIF format:
```
data_LaPaNiRu
_chemical_formula_sum 'La1 Pa1 Ni1 Ru1'
_symmetry_space_group_name_H-M 'P 1'
_symmetry_Int_Tables_number 1
_cell_length_a 4.898
_cell_length_b 4.898
_cell_length_c 4.898
_cell_angle_alpha 60.00
_cell_angle_beta 60.00
_cell_angle_gamma 60.00
loop_
_symmetry_equiv_pos_as_xyz
'x,y,z'
loop_
_atom_site_label
_atom_site_type_symbol
_atom_site_fract_x
_atom_site_fract_y
_atom_site_fract_z
Ni1 Ni 0.250 0.250 0.250
Pa1 Pa 0.500 0.500 0.500
La1 La 0.000 0.000 0.000
Ru1 Ru 0.750 0.750 0.750
```

=====

Crystalline SrMg2Ag at its relaxed geometry, computed with GGA-PBE.

space group = P2/m
density = 3.567 Mg/m³
energy relative to the elements = -0.05 eV/atom

The structure in CIF format:
```
data_SrMg2Ag
_chemical_formula_sum 'Sr1 Mg2 Ag1'
_symmetry_space_group_name_H-M 'P 1'
_symmetry_Int_Tables_number 1
_cell_length_a 4.886
_cell_length_b 3.917
_cell_length_c 6.122
_cell_angle_alpha 75.93
_cell_angle_beta 90.00
_cell_angle_gamma 90.00
loop_
_symmetry_equiv_pos_as_xyz
'x,y,z'
loop_
_atom_site_label
_atom_site_type_symbol
_atom_site_fract_x
_atom_site_fract_y
_atom_site_fract_z
Mg1 Mg 0.000 0.894 0.956
Mg2 Mg 0.000 0.606 0.544
Sr1 Sr 0.500 0.250 0.250
Ag1 Ag 0.500 0.750 0.750
```

=====

Crystalline TlInPb at its relaxed geometry, computed with GGA-PBE.

space group = P3m1
density = 9.717 Mg/m³
offset from the most stable computed form = 16 meV/atom
energy relative to the elements = 0.03 eV/atom

The structure in CIF format:
```
data_TlInPb
_chemical_formula_sum 'Tl1 In1 Pb1'
_symmetry_space_group_name_H-M 'P 1'
_symmetry_Int_Tables_number 1
_cell_length_a 5.417
_cell_length_b 5.417
_cell_length_c 3.540
_cell_angle_alpha 90.00
_cell_angle_beta 90.00
_cell_angle_gamma 120.00
loop_
_symmetry_equiv_pos_as_xyz
'x,y,z'
loop_
_atom_site_label
_atom_site_type_symbol
_atom_site_fract_x
_atom_site_fract_y
_atom_site_fract_z
In1 In 0.000 0.000 0.014
Pb1 Pb 0.667 0.333 0.298
Tl1 Tl 0.333 0.667 0.688
```

=====

| no. | total energy (eV/atom) | N(E_F) (states/eV per atom) |
| --- | --- | --- |
| 1 | -2.268 | 1.64 |
| 2 | -4.386 | 0.35 |
| 3 | -8.035 | 1.14 |
| 4 | -3.224 | 0.64 |
| 5 | -7.155 | 0.25 |
| 6 | -6.471 | 2.12 |
| 7 | -4.965 | 0.69 |
| 8 | -7.451 | 0.69 |
| 9 | -4.542 | 1.54 |
| 10 | -7.525 | 1.59 |
| 11 | -1.979 | 0.57 |
| 12 | -2.913 | 0.46 |